LaCeCo10 at its PBEsol-relaxed geometry, computed with SCAN.

Structure (POSCAR):
```
LaCeCo10
1.0
3.9492 0.0000 0.0000
0.0000 4.8380 0.0000
0.0000 0.0000 8.4471
Co La Ce
10 1 1
direct
0.5000 0.7516 0.2481
0.0000 0.5000 0.3084
0.0000 0.5000 0.6916
0.5000 0.2484 0.2481
0.5000 0.7516 0.7519
0.0000 0.0000 0.1586
0.5000 0.5000 0.5000
0.5000 0.0000 0.0000
0.5000 0.2484 0.7519
0.0000 0.0000 0.8414
0.0000 0.0000 0.5000
0.0000 0.5000 0.0000
```

Space group   Pmmm
Energy of formation from the pure elements   0.019 eV per atom
Size of the total moment   1.15 μB/atom

Ce2MgCo9 at its PBEsol-relaxed geometry, computed with SCAN.

Structure (POSCAR):
```
Ce2MgCo9
1.0
4.8365 0.0000 0.0000
2.4183 4.1886 0.0000
2.4183 1.3962 7.8784
Co Ce Mg
9 2 1
direct
0.4142 0.4142 0.2516
0.5852 0.5852 0.7496
0.4142 0.9200 0.2516
0.5852 0.0800 0.7496
0.9200 0.4142 0.2516
0.3335 0.3335 0.9994
0.0800 0.5852 0.7496
0.6648 0.6648 0.0057
0.4979 0.4979 0.5062
0.8617 0.8617 0.4148
0.0033 0.0033 0.9901
0.1399 0.1399 0.5803
```

Space group   R3m
Energy of formation from the pure elements   -0.023 eV per atom
Size of the total moment   0.87 μB/atom